1.
Li2ZnCdAs2: optimized geometry, PBE.

V (Å³/atom): 19.0
Space-group type: Pm
Uncorrected energy (eV/cell): -70.21

a b c (Å): 7.5351 4.2823 14.3165
angles (deg): 90.00 98.85 90.00
Last column: nearest neighbours and their distance in Å.
Fractional coordinates of all 24 atoms:
As: 0.0621 0.5000 0.1766  1 Zn 2.56, 3 Cd 2.68-2.69
As: 0.5648 0.0000 0.1872  4 Cd 2.67-2.73
As: 0.3119 0.0000 0.4438  3 Zn 2.62-2.64, 1 Cd 2.76
As: 0.8178 0.5000 0.4491  3 Zn 2.63-2.65, 1 Cd 2.76, 2 Li 2.92
As: 0.5422 0.5000 0.6824  2 Zn 2.53-2.54, 2 Cd 2.71
As: 0.0678 0.0000 0.6865  3 Zn 2.49-2.58, 1 Cd 2.74
As: 0.2989 0.5000 0.9254  2 Zn 2.55-2.57, 2 Cd 2.72, 1 Li 2.83
As: 0.8312 0.0000 0.9408  2 Zn 2.58, 2 Cd 2.71-2.72, 1 Li 2.87
Cd: 0.2480 0.0000 0.2489  4 As 2.67-2.76, 4 Li 2.70-2.72
Cd: 0.7578 0.5000 0.2539  4 Li 2.67-2.70, 4 As 2.68-2.76
Cd: 0.7431 0.0000 0.7498  4 As 2.71-2.74, 4 Li 2.74-2.75
Cd: 0.5008 0.0000 0.9944  4 As 2.72-2.73, 4 Li 2.74-2.76
Li: 0.1761 0.0000 0.0583  2 Zn 2.58, 2 Cd 2.70-2.74, 1 As 2.87
Li: 0.7116 0.5000 0.0654  1 Zn 2.58, 3 Cd 2.67-2.76, 1 As 2.87
Li: 0.4427 0.5000 0.3196  1 Zn 2.60, 3 Cd 2.69-2.70
Li: 0.9455 0.0000 0.3306  1 Zn 2.54, 3 Cd 2.70-2.72
Li: 0.6793 0.0000 0.5562  3 Zn 2.59-2.62, 1 Cd 2.74
Li: 0.1886 0.5000 0.5604  4 Zn 2.57-2.60
Li: 0.4070 0.0000 0.8018  2 Zn 2.55, 2 Cd 2.74-2.75, 1 As 2.82
Li: 0.9523 0.5000 0.8160  2 Zn 2.54-2.56, 2 Cd 2.74, 1 As 2.83
Zn: 0.4965 0.5000 0.5035  4 As 2.53-2.65, 4 Li 2.57-2.60
Zn: 0.0034 0.0000 0.5104  4 As 2.49-2.64, 4 Li 2.54-2.62
Zn: 0.2425 0.5000 0.7434  4 As 2.54-2.58, 4 Li 2.55-2.59
Zn: 0.0079 0.5000 0.9957  4 Li 2.54-2.58, 4 As 2.55-2.58

2.
LuCd2As: optimized geometry, PBE.

V (Å³/atom): 22.4
Space-group type: F-43m
Uncorrected energy (eV/cell): -11.82

a b c (Å): 5.0207 5.0207 5.0207
angles (deg): 60.00 60.00 60.00
Last column: nearest neighbours and their distance in Å.
Fractional coordinates of all 4 atoms:
As: 0.5000 0.5000 0.5000  4 Lu 3.07, 4 Cd 3.07
Cd: 0.0000 0.0000 0.0000  4 Cd 3.07, 4 Lu 3.07
Cd: 0.7500 0.7500 0.7500  4 Cd 3.07, 4 As 3.07
Lu: 0.2500 0.2500 0.2500  4 As 3.07, 4 Cd 3.07

3.
Lu4CdAsN2: optimized geometry, PBE.

V (Å³/atom): 18.5
Space-group type: P-6m2
Uncorrected energy (eV/cell): -49.72

a b c (Å): 3.4671 3.4671 14.1842
angles (deg): 90.00 90.00 120.00
Last column: nearest neighbours and their distance in Å.
Fractional coordinates of all 8 atoms:
As: 0.3333 0.6667 0.5000  6 Lu 2.83
Cd: 0.6667 0.3333 0.0000  6 Lu 3.19, 6 Cd 3.47
Lu: 0.3333 0.6667 0.1754  3 N 2.41
Lu: 0.6667 0.3333 0.3592  3 N 2.37
Lu: 0.6667 0.3333 0.6408  3 N 2.37
Lu: 0.3333 0.6667 0.8246  3 N 2.41
N: 0.0000 0.0000 0.2694  6 Lu 2.37-2.41
N: 0.0000 0.0000 0.7306  6 Lu 2.37-2.41

4.
Lu4CdAsN2: optimized geometry, PBE.

V (Å³/atom): 18.5
Space-group type: P-6m2
Uncorrected energy (eV/cell): -49.72

a b c (Å): 3.4671 3.4671 14.1871
angles (deg): 90.00 90.00 120.00
Last column: nearest neighbours and their distance in Å.
Fractional coordinates of all 8 atoms:
As: 0.0000 0.0000 0.0000  6 Lu 2.83
Cd: 0.6667 0.3333 0.5000  6 Lu 3.19, 6 Cd 3.47
Lu: 0.6667 0.3333 0.1407  3 N 2.37
Lu: 0.0000 0.0000 0.3245  3 N 2.41
Lu: 0.0000 0.0000 0.6755  3 N 2.41
Lu: 0.6667 0.3333 0.8593  3 N 2.37
N: 0.3333 0.6667 0.2305  6 Lu 2.37-2.41
N: 0.3333 0.6667 0.7695  6 Lu 2.37-2.41

5.
LuCdNiAs: optimized geometry, PBE.

V (Å³/atom): 18.4
Space-group type: F-43m
Uncorrected energy (eV/cell): -16.58

a b c (Å): 4.7035 4.7035 4.7035
angles (deg): 60.00 60.00 60.00
Last column: nearest neighbours and their distance in Å.
Fractional coordinates of all 4 atoms:
As: 0.0000 0.0000 0.0000  4 Ni 2.88, 4 Lu 2.88
Cd: 0.5000 0.5000 0.5000  4 Lu 2.88, 4 Ni 2.88
Lu: 0.2500 0.2500 0.2500  4 Cd 2.88, 4 As 2.88
Ni: 0.7500 0.7500 0.7500  4 As 2.88, 4 Cd 2.88

6.
MgCdNiAs: optimized geometry, PBE.

V (Å³/atom): 17.2
Space-group type: F-43m
Uncorrected energy (eV/cell): -12.60

a b c (Å): 4.6018 4.6018 4.6018
angles (deg): 60.00 60.00 60.00
Last column: nearest neighbours and their distance in Å.
Fractional coordinates of all 4 atoms:
As: 0.0000 0.0000 0.0000  4 Mg 2.82, 4 Ni 2.82
Cd: 0.5000 0.5000 0.5000  4 Mg 2.82, 4 Ni 2.82
Mg: 0.2500 0.2500 0.2500  4 As 2.82, 4 Cd 2.82
Ni: 0.7500 0.7500 0.7500  4 Cd 2.82, 4 As 2.82